# Sm3Ho3Si4

A relaxed structure of Sm3Ho3Si4 (PBE, Alexandria via LeMat-Bulk).

Results
Uncorrected formation energy   -68 kJ/mol of atoms
Total magnetic moment   0.0 Bohr magnetons per cell

Cell lengths 4.2924, 7.5233, 7.5233 Å; angles 89.57, 90.00, 90.00 degrees
Closest atoms and distances in Å follow each position.
Element x y z (fractional)
Si 0.0000 0.6135 0.3865  1 Si 2.47
Ho 0.0000 0.9992 0.4990  4 Si 2.99-3.04
Sm 0.5000 0.3217 0.3240  6 Si 3.09-3.12
Si 0.0000 0.1180 0.1113  1 Si 2.45
Sm 0.5000 0.6760 0.6783  6 Si 3.09-3.12
Ho 0.5000 0.1768 0.8232  6 Si 3.04-3.08
Ho 0.0000 0.5010 0.0008  4 Si 2.99-3.04
Si 0.0000 0.8887 0.8820  1 Si 2.45
Si 0.0000 0.3805 0.6195  1 Si 2.47
Sm 0.5000 0.8247 0.1753  6 Si 3.10-3.11

=====

# Sc2HgPd4

A relaxed structure of Sc2HgPd4 (PBE, Alexandria via LeMat-Bulk).

Results
Calculated formation energy   -4.185 eV/f.u.
Total magnetic moment   0.0 Bohr magnetons per cell

Cell lengths 3.9180, 3.9180, 9.8320 Å; angles 101.49, 101.49, 90.00 degrees
Closest atoms and distances in Å follow each position.
Element x y z (fractional)
Pd 0.1410 0.1410 0.2820  1 Hg 2.66, 4 Sc 2.77, 4 Pd 2.84
Pd 0.2500 0.7500 0.5000  8 Pd 2.77-2.84, 4 Sc 2.80
Sc 0.3563 0.3563 0.7125  8 Pd 2.77-2.80
Sc 0.6437 0.6437 0.2875  8 Pd 2.77-2.80
Pd 0.8590 0.8590 0.7180  1 Hg 2.66, 4 Sc 2.77, 4 Pd 2.84
Pd 0.7500 0.2500 0.5000  8 Pd 2.77-2.84, 4 Sc 2.80
Hg 0.0000 0.0000 0.0000  2 Pd 2.66

=====

# BeSn2Cl

A relaxed structure of BeSn2Cl (PBE, Alexandria via LeMat-Bulk).

Results
Uncorrected formation energy   30 kJ/mol of atoms
Total magnetic moment   0.0 Bohr magnetons per cell

Cell lengths 4.9523, 4.9523, 4.9523 Å; angles 60.00, 60.00, 60.00 degrees
Closest atoms and distances in Å follow each position.
Element x y z (fractional)
Be 0.0000 0.0000 0.0000  8 Sn 3.03
Cl 0.5000 0.5000 0.5000  8 Sn 3.03
Sn 0.7500 0.7500 0.7500  4 Cl 3.03, 4 Be 3.03
Sn 0.2500 0.2500 0.2500  4 Cl 3.03, 4 Be 3.03

=====

# Mg2GaMoOs

A relaxed structure of Mg2GaMoOs (PBE, Alexandria via LeMat-Bulk).

Results
Calculated formation energy   6.850 eV/f.u.
Total magnetic moment   0.9 Bohr magnetons per cell

Cell lengths 4.5668, 4.7252, 4.5668 Å; angles 90.00, 90.00, 90.00 degrees
Closest atoms and distances in Å follow each position.
Element x y z (fractional)
Os 0.5000 0.5000 0.5000  4 Mo 3.23, 8 Mg 3.29
Mo 0.0000 0.5000 0.0000  2 Ga 2.36
Ga 0.0000 0.0000 0.0000  4 Mg 2.28, 2 Mo 2.36
Mg 0.0000 0.0000 0.5000  2 Ga 2.28
Mg 0.5000 0.0000 0.0000  2 Ga 2.28

=====

Number 1: N(E_F) 8.32 states/eV/f.u., calculated volume 242.94 Å³/cell. Number 2: N(E_F) 3.80 states/eV/f.u., calculated volume 144.81 Å³/cell. Number 3: N(E_F) 2.75 states/eV/f.u., calculated volume 85.88 Å³/cell. Number 4: N(E_F) 5.52 states/eV/f.u., calculated volume 98.55 Å³/cell.